Below is a relaxed structure of MgBe2, with properties calculated at the PBE level. Values from VASP.

Values from the calculation:
Polymorph energy (0 for the lowest one) ... 61.6 meV/atom
E_tot ... -0.210 Ry/atom
Total magnetic moment ... 0.000 μB per atom
Crystal system ... trigonal
ΔE_f ... 3.560 kcal/mol of atoms

Geometry as Quantum ESPRESSO input:
```
&SYSTEM
  ibrav = 0, nat = 6, ntyp = 2
/
ATOMIC_SPECIES
Mg 24.30 Mg.upf
Be 9.01 Be.upf
ATOMIC_POSITIONS crystal
Mg 0.219 0.219 0.219
Mg 0.781 0.781 0.781
Be 0.043 0.043 0.043
Be 0.339 0.339 0.339
Be 0.661 0.661 0.661
Be 0.957 0.957 0.957
CELL_PARAMETERS angstrom
1.774 1.024 7.439
-1.774 1.024 7.439
0.000 -2.048 7.439
```